A plane-wave DFT calculation with GGA-PBE was carried out for a geometry-optimized FeOsW2 structure.

```
FeOsW2
1.0
-0.256 0.729 3.024
2.740 -1.382 0.565
2.841 5.215 -1.018
Os W Fe
1 2 1
Cartesian
3.355 3.552 1.038 Os
2.021 1.103 1.515 W
2.822 5.181 -1.011 W
1.388 2.547 -0.497 Fe
```

- Distance to the lowest polymorph of the same formula: 53 meV per atom
- Space group: P4mm
- Energy of formation from the pure elements: 0.162 eV/atom